Material: YRu2Rh2
Method: DFT, PBE
State: relaxed

Cell lengths 7.606, 7.606, 2.844 Å; angles 90.00, 90.00, 90.00 degrees
Fractional coordinates of all 10 atoms:
Y (0.000, 0.000, 0.000)
Y (0.500, 0.500, 0.000)
Ru (0.175, 0.675, 0.500)
Ru (0.675, 0.825, 0.500)
Ru (0.825, 0.325, 0.500)
Ru (0.325, 0.175, 0.500)
Rh (0.379, 0.879, 0.000)
Rh (0.879, 0.621, 0.000)
Rh (0.621, 0.121, 0.000)
Rh (0.121, 0.379, 0.000)

## Properties
energy relative to the elements = -20.7 meV/atom
excess energy over the best structure of this formula in the dataset = 86 meV/atom



Material: YRu2Rh
Method: DFT, PBE
State: relaxed

Cell lengths 5.726, 5.726, 5.726 Å; angles 150.30, 132.76, 56.79 degrees
Fractional coordinates of all 4 atoms:
Rh (0.250, 0.750, 0.500)
Ru (0.026, 0.026, 0.000)
Ru (0.474, 0.474, 0.000)
Y (0.750, 0.250, 0.500)

## Properties
energy relative to the elements = 65.8 meV/atom
excess energy over the best structure of this formula in the dataset = 90 meV/atom



Material: YRu2Rh
Method: DFT, PBE
State: relaxed

Cell lengths 5.045, 5.045, 5.045 Å; angles 133.28, 133.28, 68.22 degrees
Fractional coordinates of all 4 atoms:
Rh (0.750, 0.250, 0.500)
Ru (0.000, 0.000, 0.000)
Ru (0.500, 0.500, 0.000)
Y (0.250, 0.750, 0.500)

## Properties
energy relative to the elements = 36.8 meV/atom
excess energy over the best structure of this formula in the dataset = 61 meV/atom



Material: Y4Ru2Rh
Method: DFT, PBE
State: relaxed

Cell lengths 4.841, 4.841, 8.297 Å; angles 73.04, 73.04, 60.00 degrees
Fractional coordinates of all 7 atoms:
Y (0.874, 0.874, 0.378)
Y (0.126, 0.126, 0.622)
Y (0.623, 0.623, 0.131)
Y (0.377, 0.377, 0.869)
Ru (0.749, 0.749, 0.754)
Ru (0.251, 0.251, 0.246)
Rh (0.000, 0.000, 0.000)

## Properties
energy relative to the elements = -414.3 meV/atom



Material: YRuRh
Method: DFT, PBE
State: relaxed

Cell lengths 3.164, 3.164, 6.453 Å; angles 90.00, 90.00, 120.00 degrees
Each line ends with the local moment (μB).
Fractional coordinates of all 3 atoms:
Rh (0.000, 0.000, 0.014)  0.25
Ru (0.667, 0.333, 0.320)  0.43
Y (0.333, 0.667, 0.666)  -0.03

## Properties
energy relative to the elements = 337.0 meV/atom
excess energy over the best structure of this formula in the dataset = 851 meV/atom



Material: YRu2Rh2
Method: DFT, PBE
State: relaxed

Cell lengths 7.624, 7.624, 2.832 Å; angles 90.00, 90.00, 90.00 degrees
Fractional coordinates of all 10 atoms:
Y (0.000, 0.000, 0.000)
Y (0.500, 0.500, 0.000)
Ru (0.383, 0.883, 0.000)
Ru (0.883, 0.617, 0.000)
Ru (0.617, 0.117, 0.000)
Ru (0.117, 0.383, 0.000)
Rh (0.179, 0.679, 0.500)
Rh (0.679, 0.821, 0.500)
Rh (0.821, 0.321, 0.500)
Rh (0.321, 0.179, 0.500)

## Properties
energy relative to the elements = -64.7 meV/atom
excess energy over the best structure of this formula in the dataset = 42 meV/atom



Material: Y4Ru3Rh
Method: DFT, PBE
State: relaxed

Cell lengths 3.424, 4.837, 9.648 Å; angles 90.00, 90.00, 90.00 degrees
Fractional coordinates of all 8 atoms:
Y (0.000, 0.000, 0.500)
Y (0.000, 0.500, 0.746)
Y (0.000, 0.000, 0.000)
Y (0.000, 0.500, 0.254)
Ru (0.500, 0.000, 0.248)
Ru (0.500, 0.500, 0.500)
Ru (0.500, 0.000, 0.752)
Rh (0.500, 0.500, 0.000)

## Properties
energy relative to the elements = -429.3 meV/atom



Material: YRu2Rh
Method: DFT, PBE
State: relaxed

Cell lengths 3.950, 3.950, 10.148 Å; angles 78.78, 78.78, 90.00 degrees
Each line ends with the local moment (μB).
Fractional coordinates of all 8 atoms:
Y (0.500, 0.500, 0.000)  0.03
Y (0.250, 0.750, 0.500)  0.03
Ru (0.705, 0.125, 0.250)  0.61
Ru (0.045, 0.625, 0.250)  0.62
Ru (0.375, 0.295, 0.750)  0.54
Ru (0.875, 0.955, 0.750)  0.55
Rh (0.000, 0.000, 0.000)  0.15
Rh (0.750, 0.250, 0.500)  0.15

## Properties
energy relative to the elements = 256.6 meV/atom
excess energy over the best structure of this formula in the dataset = 281 meV/atom



Material: YRu2Rh
Method: DFT, PBE
State: relaxed

Cell lengths 4.563, 4.563, 4.563 Å; angles 60.00, 60.00, 60.00 degrees
Fractional coordinates of all 4 atoms:
Y (0.000, 0.000, 0.000)
Ru (0.250, 0.250, 0.250)
Ru (0.750, 0.750, 0.750)
Rh (0.500, 0.500, 0.500)

## Properties
energy relative to the elements = 191.7 meV/atom
excess energy over the best structure of this formula in the dataset = 216 meV/atom



Material: YRuRh2
Method: DFT, PBE
State: relaxed

Cell lengths 4.974, 4.974, 4.974 Å; angles 131.84, 131.81, 70.50 degrees
Fractional coordinates of all 4 atoms:
Rh (0.000, 0.000, 0.000)
Rh (0.250, 0.750, 0.500)
Ru (0.500, 0.500, 0.000)
Y (0.750, 0.250, 0.500)

## Properties
energy relative to the elements = -165.1 meV/atom
excess energy over the best structure of this formula in the dataset = 77 meV/atom



Material: YRu3Rh
Method: DFT, PBE
State: relaxed

Cell lengths 4.694, 4.694, 4.694 Å; angles 90.00, 90.00, 90.00 degrees
Each line ends with the local moment (μB).
Fractional coordinates of all 5 atoms:
Y (0.500, 0.500, 0.500)  -0.03
Ru (0.000, 0.500, 0.000)  0.46
Ru (0.000, 0.000, 0.500)  0.50
Ru (0.500, 0.000, 0.000)  0.32
Rh (0.000, 0.000, 0.000)  0.09

## Properties
energy relative to the elements = 1046.6 meV/atom
excess energy over the best structure of this formula in the dataset = 0 meV/atom



Material: YRu2Rh2
Method: DFT, PBE
State: relaxed

Cell lengths 4.070, 4.070, 6.129 Å; angles 70.61, 70.61, 90.00 degrees
Fractional coordinates of all 5 atoms:
Y (0.000, 0.000, 0.000)
Ru (0.396, 0.396, 0.208)
Ru (0.604, 0.604, 0.792)
Rh (0.750, 0.250, 0.500)
Rh (0.250, 0.750, 0.500)

## Properties
energy relative to the elements = -106.9 meV/atom
excess energy over the best structure of this formula in the dataset = 0 meV/atom



Material: YRuRh
Method: DFT, PBE
State: relaxed

Cell lengths 5.107, 5.107, 6.150 Å; angles 82.07, 129.17, 113.92 degrees
Fractional coordinates of all 6 atoms:
Y (0.231, 0.636, 0.867)
Y (0.769, 0.364, 0.133)
Rh (0.000, 0.000, 0.500)
Rh (0.500, 0.500, 0.500)
Ru (0.248, 0.985, 0.233)
Ru (0.752, 0.015, 0.767)

## Properties
energy relative to the elements = -205.3 meV/atom
excess energy over the best structure of this formula in the dataset = 309 meV/atom



Material: YRu2Rh
Method: DFT, PBE
State: relaxed

Cell lengths 4.919, 4.919, 4.919 Å; angles 132.65, 128.52, 72.52 degrees
Fractional coordinates of all 4 atoms:
Rh (0.243, 0.743, 0.500)
Ru (0.994, 0.994, 0.000)
Ru (0.760, 0.260, 0.500)
Y (0.503, 0.503, 0.000)

## Properties
energy relative to the elements = 11.3 meV/atom
excess energy over the best structure of this formula in the dataset = 36 meV/atom



Material: YRuRh
Method: DFT, PBE
State: relaxed

Cell lengths 4.462, 4.462, 3.263 Å; angles 90.00, 90.00, 120.00 degrees
Fractional coordinates of all 3 atoms:
Rh (0.000, 0.000, 0.167)
Ru (0.333, 0.667, 0.167)
Y (0.667, 0.333, 0.667)

## Properties
energy relative to the elements = -174.0 meV/atom
excess energy over the best structure of this formula in the dataset = 340 meV/atom



Material: YRuRh
Method: DFT, PBE
State: relaxed

Cell lengths 5.120, 5.393, 5.393 Å; angles 60.42, 61.66, 61.66 degrees
Fractional coordinates of all 6 atoms:
Y (0.879, 0.371, 0.371)
Y (0.121, 0.629, 0.629)
Ru (0.000, 0.000, 0.000)
Ru (0.500, 0.000, 0.000)
Rh (0.500, 0.500, 0.000)
Rh (0.500, 0.000, 0.500)

## Properties
energy relative to the elements = -514.3 meV/atom
excess energy over the best structure of this formula in the dataset = 0 meV/atom



Material: YRu2Rh
Method: DFT, PBE
State: relaxed

Cell lengths 4.263, 3.956, 3.956 Å; angles 90.00, 90.00, 90.00 degrees
Fractional coordinates of all 4 atoms:
Rh (0.500, 0.000, 0.500)
Ru (0.000, 0.000, 0.000)
Ru (0.000, 0.500, 0.500)
Y (0.500, 0.500, 0.000)

## Properties
energy relative to the elements = -24.3 meV/atom
excess energy over the best structure of this formula in the dataset = 0 meV/atom



Material: YRu2Rh
Method: DFT, PBE
State: relaxed

Cell lengths 4.396, 2.938, 5.335 Å; angles 79.20, 90.00, 90.00 degrees
Fractional coordinates of all 4 atoms:
Rh (0.500, 0.913, 0.745)
Ru (0.000, 0.861, 0.039)
Ru (0.500, 0.246, 0.178)
Y (0.000, 0.480, 0.539)

## Properties
energy relative to the elements = -13.4 meV/atom
excess energy over the best structure of this formula in the dataset = 11 meV/atom



Material: Y6RuRh5
Method: DFT, PBE
State: relaxed

Cell lengths 4.865, 6.828, 7.697 Å; angles 90.00, 71.58, 90.00 degrees
Fractional coordinates of all 12 atoms:
Y (0.834, 0.751, 0.331)
Y (0.834, 0.249, 0.331)
Y (0.500, 0.248, 0.000)
Y (0.500, 0.752, 0.000)
Y (0.166, 0.751, 0.669)
Y (0.166, 0.249, 0.669)
Ru (0.000, 0.000, 0.000)
Rh (0.667, 0.500, 0.665)
Rh (0.333, 0.000, 0.333)
Rh (0.000, 0.500, 0.000)
Rh (0.667, 0.000, 0.667)
Rh (0.333, 0.500, 0.335)

## Properties
energy relative to the elements = -764.9 meV/atom



Material: YRuRh2
Method: DFT, PBE
State: relaxed

Cell lengths 4.605, 4.605, 4.605 Å; angles 60.00, 60.00, 60.00 degrees
Each line ends with the local moment (μB).
Fractional coordinates of all 4 atoms:
Y (0.000, 0.000, 0.000)  -0.04
Ru (0.500, 0.500, 0.500)  1.74
Rh (0.250, 0.250, 0.250)  0.63
Rh (0.750, 0.750, 0.750)  0.63

## Properties
energy relative to the elements = -93.6 meV/atom
excess energy over the best structure of this formula in the dataset = 149 meV/atom